Record 1
This record from the Alexandria database describes a relaxed structure of Ca3BiAs. The functional is PBEsol.

Unit cell a=5.4558 b=5.4558 c=5.4558 alpha=90.00 beta=90.00 gamma=90.00
Fractional coordinates of all 5 atoms:
Ca  0.0000  0.0000  0.5000
Ca  0.0000  0.5000  0.0000
Ca  0.5000  0.0000  0.0000
Bi  0.5000  0.5000  0.5000
As  0.0000  0.0000  0.0000

Fermi-level density of states, states/eV per cell: 0.07
E above lowest polymorph, eV per atom: 0.0000
Final energy, eV per atom: -4.074
Energy of formation, eV per atom: -0.92

Record 2
This record from the Alexandria database describes a relaxed structure of Ca3BiAs. The functional is PBEsol.

Unit cell a=5.7580 b=5.7580 c=5.7580 alpha=90.00 beta=90.00 gamma=90.00
Fractional coordinates of all 5 atoms:
Ca  0.0000  0.0000  0.5000
Ca  0.0000  0.5000  0.0000
Ca  0.5000  0.0000  0.0000
Bi  0.0000  0.0000  0.0000
As  0.5000  0.5000  0.5000

Fermi-level density of states, states/eV per cell: 0.14
E above lowest polymorph, eV per atom: 0.6438
Final energy, eV per atom: -3.430
Energy of formation, eV per atom: -0.27

Record 3
This record from the Alexandria database describes a relaxed structure of CaBi2AsCl. The functional is PBEsol.

Unit cell a=5.4776 b=5.4776 c=5.6417 alpha=90.00 beta=90.00 gamma=90.00
Fractional coordinates of all 5 atoms:
Ca  0.0000  0.0000  0.0000
Bi  0.0000  0.5000  0.5000
Bi  0.5000  0.0000  0.5000
As  0.0000  0.0000  0.5000
Cl  0.5000  0.5000  0.0000

Fermi-level density of states, states/eV per cell: 3.60
Final energy, eV per atom: -3.699

Record 4
This record from the Alexandria database describes a relaxed structure of CaMg2BiAs. The functional is PBEsol.

Unit cell a=4.9782 b=4.9782 c=5.4977 alpha=90.00 beta=90.00 gamma=90.00
Fractional coordinates of all 5 atoms:
Ca  0.0000  0.0000  0.0000
Mg  0.0000  0.5000  0.5000
Mg  0.5000  0.0000  0.5000
Bi  0.5000  0.5000  0.0000
As  0.0000  0.0000  0.5000

Fermi-level density of states, states/eV per cell: 0.23
Final energy, eV per atom: -3.482
Energy of formation, eV per atom: -0.49

Record 5
This record from the Alexandria database describes a relaxed structure of Ca3Bi2As2O12. The functional is PBEsol.

Unit cell a=5.4409 b=7.1712 c=7.4911 alpha=77.29 beta=86.94 gamma=88.70
Fractional coordinates of all 19 atoms:
Ca  0.0000  0.0000  0.0000
Ca  0.0070  0.3552  0.6052
Ca  0.4997  0.5572  0.8352
Bi  0.4930  0.6685  0.3331
Bi  0.9775  0.8623  0.4966
As  0.0277  0.4986  0.0947
As  0.5598  0.0858  0.7174
O  0.1049  0.3335  0.9681
O  0.1565  0.7024  0.9670
O  0.1755  0.4515  0.2995
O  0.2451  0.0875  0.7109
O  0.2472  0.8954  0.2595
O  0.2607  0.6178  0.5787
O  0.6705  0.2404  0.8393
O  0.6755  0.8645  0.8159
O  0.7063  0.5092  0.1326
O  0.7117  0.1571  0.5068
O  0.7417  0.6033  0.5528
O  0.7647  0.8734  0.2523

Final energy, eV per atom: -6.437

Record 6
This record from the Alexandria database describes a relaxed structure of Ca2ScBiAs. The functional is PBEsol.

Unit cell a=5.4159 b=5.4159 c=5.0676 alpha=90.00 beta=90.00 gamma=90.00
Fractional coordinates of all 5 atoms:
Ca  0.0000  0.5000  0.0000
Ca  0.5000  0.0000  0.0000
Sc  0.0000  0.0000  0.5000
Bi  0.5000  0.5000  0.5000
As  0.0000  0.0000  0.0000

Fermi-level density of states, states/eV per cell: 3.73
Final energy, eV per atom: -4.783
Energy of formation, eV per atom: -0.73

Record 7
This record from the Alexandria database describes a relaxed structure of Cd2BiAsO6. The functional is PBEsol.

Unit cell a=7.1960 b=7.1960 c=5.6279 alpha=90.00 beta=90.00 gamma=105.78
Fractional coordinates of all 20 atoms:
Cd  0.0924  0.3141  0.0000
Cd  0.3141  0.0924  0.5000
Cd  0.6859  0.9076  0.0000
Cd  0.9076  0.6859  0.5000
Bi  0.4034  0.5966  0.5083
Bi  0.5966  0.4034  0.0083
As  0.1669  0.8331  0.9849
As  0.8331  0.1669  0.4849
O  0.0202  0.9798  0.9419
O  0.0659  0.6144  0.8469
O  0.2023  0.7977  0.2837
O  0.3419  0.3472  0.2524
O  0.3472  0.3419  0.7524
O  0.3856  0.9341  0.8469
O  0.6144  0.0659  0.3469
O  0.6528  0.6581  0.2524
O  0.6581  0.6528  0.7524
O  0.7977  0.2023  0.7837
O  0.9341  0.3856  0.3469
O  0.9798  0.0202  0.4419

Fermi-level density of states, states/eV per cell: 0.00
Final energy, eV per atom: -5.567

Record 8
This record from the Alexandria database describes a relaxed structure of Bi2AsCl2. The functional is PBEsol.

Unit cell a=7.4281 b=7.4281 c=4.6876 alpha=90.00 beta=90.00 gamma=90.00
Fractional coordinates of all 10 atoms:
Bi  0.1538  0.3462  0.0000
Bi  0.3462  0.8462  0.0000
Bi  0.6538  0.1538  0.0000
Bi  0.8462  0.6538  0.0000
As  0.0000  0.0000  0.0000
As  0.5000  0.5000  0.0000
Cl  0.1577  0.6577  0.5000
Cl  0.3423  0.1577  0.5000
Cl  0.6577  0.8423  0.5000
Cl  0.8423  0.3423  0.5000

Fermi-level density of states, states/eV per cell: 6.84
Final energy, eV per atom: -3.675